1.
Computed, not measured: crystalline NdMgN at its relaxed geometry at the PBE level of DFT.

a = 8.3454 Å, b = 8.3454 Å, c = 8.3454 Å
α = 29.98°, β = 29.98°, γ = 29.98°
Last column: nearest neighbours and their distance in Å.
Atoms (fractional coordinates):
Nd 0.1146 0.1146 0.1146  4 N 2.38-2.50
Nd 0.8854 0.8854 0.8854  4 N 2.38-2.50
Mg 0.3040 0.3040 0.3040  1 N 2.15
Mg 0.6960 0.6960 0.6960  1 N 2.15
N 0.2141 0.2141 0.2141  1 Mg 2.15, 1 Nd 2.38
N 0.7859 0.7859 0.7859  1 Mg 2.15, 1 Nd 2.38

Summary:
Crystal system: trigonal
ΔE_f (raw): -744 meV per atom
Raw total energy: -5.640 eV/atom
Symmetry: No. 166
Fermi-level density of states: 1.0 states/eV/f.u.

---

2.
Computed, not measured: crystalline Nd2MgPaN4 at its relaxed geometry at the PBE level of DFT.

a = 5.9054 Å, b = 3.5781 Å, c = 6.1274 Å
α = 90.00°, β = 108.28°, γ = 90.00°
Last column: nearest neighbours and their distance in Å.
Atoms (fractional coordinates):
Nd 0.0000 0.0000 0.0000  6 N 2.61-2.62
Nd 0.5000 0.5000 0.0000  6 N 2.51-2.54
Mg 0.0000 0.5000 0.5000  6 N 2.37-2.49
Pa 0.5000 0.0000 0.5000  6 N 2.27-2.41
N 0.2633 0.0000 0.7289  1 Pa 2.27, 2 Mg 2.49, 2 Nd 2.54
N 0.2639 0.5000 0.2767  1 Mg 2.37, 2 Pa 2.41, 3 Nd 2.51-2.62
N 0.7361 0.5000 0.7233  1 Mg 2.37, 2 Pa 2.41, 3 Nd 2.51-2.62
N 0.7367 0.0000 0.2711  1 Pa 2.27, 2 Mg 2.49, 2 Nd 2.54

Summary:
Crystal system: monoclinic
ΔE_f (raw): -1289 meV per atom
Raw total energy: -8.030 eV/atom
Symmetry: No. 10
Fermi-level density of states: 2.6 states/eV/f.u.

---

3.
Computed, not measured: crystalline Nd2Mg2Sb2N at its relaxed geometry at the PBE level of DFT.

a = 8.6050 Å, b = 8.6050 Å, c = 8.6050 Å
α = 149.59°, β = 149.59°, γ = 43.54°
Last column: nearest neighbours and their distance in Å.
Atoms (fractional coordinates):
Nd 0.1537 0.1537 0.0000  1 N 2.46
Nd 0.8463 0.8463 0.0000  1 N 2.46
Mg 0.0000 0.5000 0.5000  2 N 2.26
Mg 0.5000 0.0000 0.5000  2 N 2.26
Sb 0.3643 0.3643 0.0000  4 Mg 3.13, 5 Nd 3.20-3.37
Sb 0.6357 0.6357 0.0000  4 Mg 3.13, 5 Nd 3.20-3.37
N 0.0000 0.0000 0.0000  4 Mg 2.26, 2 Nd 2.46

Summary:
Crystal system: tetragonal
ΔE_f (raw): -955 meV per atom
Raw total energy: -5.140 eV/atom
Symmetry: No. 139
Fermi-level density of states: 1.8 states/eV/f.u.

---

4.
Computed, not measured: crystalline NdSm2MgN at its relaxed geometry at the PBE level of DFT.

a = 4.9967 Å, b = 4.9967 Å, c = 5.0992 Å
α = 90.00°, β = 90.00°, γ = 90.00°
Last column: nearest neighbours and their distance in Å.
Atoms (fractional coordinates):
Nd 0.0000 0.0000 0.0000  2 N 2.55
Sm 0.0000 0.5000 0.5000  2 N 2.50
Sm 0.5000 0.0000 0.5000  2 N 2.50
Mg 0.5000 0.5000 0.0000  4 Nd 3.53, 8 Sm 3.57
N 0.0000 0.0000 0.5000  4 Sm 2.50, 2 Nd 2.55

Summary:
Crystal system: tetragonal
ΔE_f (raw): -617 meV per atom
Raw total energy: -5.443 eV/atom
Symmetry: No. 123
Fermi-level density of states: 5.6 states/eV/f.u.

---

5.
Computed, not measured: crystalline NdMg2TaN4 at its relaxed geometry at the PBE level of DFT.

a = 7.3228 Å, b = 6.0541 Å, c = 5.4333 Å
α = 90.00°, β = 90.00°, γ = 90.00°
Last column: nearest neighbours and their distance in Å.
Atoms (fractional coordinates):
Nd 0.0000 0.1693 0.0000  4 N 2.35-2.48
Nd 0.5000 0.8307 0.5000  4 N 2.35-2.48
Mg 0.2492 0.3337 0.5136  4 N 2.09-2.21
Mg 0.2508 0.6663 0.0136  4 N 2.09-2.21
Mg 0.7492 0.6663 0.0136  4 N 2.09-2.21
Mg 0.7508 0.3337 0.5136  4 N 2.09-2.21
Ta 0.0000 0.8108 0.5192  4 N 1.95-1.99
Ta 0.5000 0.1892 0.0192  4 N 1.95-1.99
N 0.0000 0.1345 0.4547  1 Ta 1.99, 2 Mg 2.21
N 0.0000 0.7952 0.8781  1 Ta 1.95, 2 Mg 2.13
N 0.2203 0.6623 0.4000  1 Ta 1.96, 2 Mg 2.09-2.11
N 0.2797 0.3377 0.9000  1 Ta 1.96, 2 Mg 2.09-2.11
N 0.5000 0.2048 0.3781  1 Ta 1.95, 2 Mg 2.13
N 0.5000 0.8655 0.9547  1 Ta 1.99, 2 Mg 2.21
N 0.7203 0.3377 0.9000  1 Ta 1.96, 2 Mg 2.09-2.11
N 0.7797 0.6623 0.4000  1 Ta 1.96, 2 Mg 2.09-2.11

Summary:
Crystal system: orthorhombic
ΔE_f (raw): -1153 meV per atom
Raw total energy: -7.792 eV/atom
Symmetry: No. 31
Fermi-level density of states: 0.0 states/eV/f.u.

---

6.
Computed, not measured: crystalline NdMgTa4N8 at its relaxed geometry at the PBE level of DFT.

a = 6.4245 Å, b = 6.4245 Å, c = 6.4245 Å
α = 59.23°, β = 59.23°, γ = 59.23°
Last column: nearest neighbours and their distance in Å.
Atoms (fractional coordinates):
Nd 0.0000 0.0000 0.0000  4 N 2.25-2.27
Mg 0.6214 0.6214 0.6214  6 N 2.19-2.28
Ta 0.1078 0.6270 0.6270  3 N 2.00-2.07
Ta 0.2464 0.2464 0.2464  4 N 1.98-2.08
Ta 0.6270 0.1078 0.6270  3 N 2.00-2.07
Ta 0.6270 0.6270 0.1078  3 N 2.00-2.07
N 0.3697 0.3697 0.8653  1 Ta 1.98
N 0.3697 0.8653 0.3697  1 Ta 1.98
N 0.3776 0.3776 0.3776  4 Ta 2.08-2.25
N 0.4320 0.8606 0.8606  2 Ta 2.00, 1 Mg 2.19
N 0.8564 0.8564 0.8564  3 Ta 2.07, 1 Nd 2.27
N 0.8606 0.4320 0.8606  2 Ta 2.00, 1 Mg 2.19
N 0.8606 0.8606 0.4320  2 Ta 2.00, 1 Mg 2.19
N 0.8653 0.3697 0.3697  1 Ta 1.98

Summary:
Crystal system: trigonal
ΔE_f (raw): -1020 meV per atom
Raw total energy: -9.619 eV/atom
Symmetry: No. 160
Fermi-level density of states: 3.4 states/eV/f.u.

---

7.
Computed, not measured: crystalline Tb2NdMgN at its relaxed geometry at the PBE level of DFT.

a = 4.8858 Å, b = 4.8858 Å, c = 5.1135 Å
α = 90.00°, β = 90.00°, γ = 90.00°
Last column: nearest neighbours and their distance in Å.
Atoms (fractional coordinates):
Tb 0.0000 0.5000 0.0000  2 N 2.44
Tb 0.5000 0.0000 0.0000  2 N 2.44
Nd 0.0000 0.0000 0.5000  2 N 2.56
Mg 0.5000 0.5000 0.5000  4 Nd 3.45, 8 Tb 3.54
N 0.0000 0.0000 0.0000  4 Tb 2.44, 2 Nd 2.56

Summary:
Crystal system: tetragonal
ΔE_f (raw): -659 meV per atom
Raw total energy: -5.448 eV/atom
Symmetry: No. 123
Fermi-level density of states: 5.2 states/eV/f.u.

---

8.
Computed, not measured: crystalline NdMg2TcN4 at its relaxed geometry at the PBE level of DFT.

a = 6.0743 Å, b = 6.0743 Å, c = 10.9237 Å
α = 90.00°, β = 90.00°, γ = 148.29°
Last column: nearest neighbours and their distance in Å.
Atoms (fractional coordinates):
Nd 0.0706 0.9294 0.7500  2 N 2.49
Nd 0.9294 0.0706 0.2500  2 N 2.49
Mg 0.3877 0.6123 0.5332  3 N 2.08-2.15
Mg 0.3877 0.6123 0.9668  3 N 2.08-2.15
Mg 0.6123 0.3877 0.0332  3 N 2.08-2.15
Mg 0.6123 0.3877 0.4668  3 N 2.08-2.15
Tc 0.1888 0.8112 0.2500  2 N 1.79
Tc 0.8112 0.1888 0.7500  2 N 1.79
N 0.0000 0.0000 0.0000  4 Mg 2.15
N 0.0000 0.0000 0.5000  4 Mg 2.15
N 0.2780 0.7220 0.1168  1 Tc 1.79
N 0.2780 0.7220 0.3832  1 Tc 1.79
N 0.4120 0.5880 0.7500  2 Tc 2.03
N 0.5880 0.4120 0.2500  2 Tc 2.03
N 0.7220 0.2780 0.6168  1 Tc 1.79
N 0.7220 0.2780 0.8832  1 Tc 1.79

Summary:
Crystal system: orthorhombic
ΔE_f (raw): -565 meV per atom
Raw total energy: -7.018 eV/atom
Symmetry: No. 63
Fermi-level density of states: 0.9 states/eV/f.u.